Sc2InBRu | PBE | optimized geometry

Results
N(E_F) = 0.45 states/eV per atom
Energy of formation = -449 meV/atom
ρ = 5.92 g cm⁻³
Crystal system = tetragonal
Magnetic moment = 0.0 μB/cell

Unit cell a=4.6925 b=4.6925 c=4.0352 alpha=90.00 beta=90.00 gamma=90.00
With the nearest neighbours (Å) after each atom.
Space group P4/mmm (No. 123)
Asymmetric unit:
1 Sc 0.0000 0.5000 0.0000 [2 per cell]  2 B 2.35
2 In 0.0000 0.0000 0.5000 [1 per cell]  8 Sc 3.09, 4 Ru 3.32
3 B 0.5000 0.5000 0.0000 [1 per cell]  2 Ru 2.02
4 Ru 0.5000 0.5000 0.5000 [1 per cell]  2 B 2.02